! KNd2IrO8 (PBE, relaxed); values from VASP
&SYSTEM
  ibrav = 0, nat = 12, ntyp = 4
/
ATOMIC_SPECIES
K 39.10 K.upf
Nd 144.24 Nd.upf
Ir 192.22 Ir.upf
O 16.00 O.upf
ATOMIC_POSITIONS angstrom
K 0.0000 0.0000 0.0000
Nd 0.1594 2.6192 5.0258
Nd 2.0732 2.6920 2.0478
Ir -1.0082 -0.0054 3.5368
O -1.2866 2.6637 7.0534
O -0.0392 3.7511 2.8520
O 0.0906 1.2720 2.6740
O 0.0313 0.0810 5.1511
O 2.2013 5.2302 1.9224
O 2.1420 4.0392 4.3995
O 2.2718 1.5601 4.2215
O 3.5192 2.6475 0.0202
CELL_PARAMETERS angstrom
4.2664 0.0000 0.0000
-0.0174 5.3219 0.0000
-2.0163 -0.0107 7.0735
! formation energy from raw total energies	-1.79	eV per atom
! V	13.4	Å³ per atom
! DOS(E_F)	5.61	states/eV/f.u.
! size of the total moment	1.08	μB/f.u.
! final energy	-6.72	eV/atom